Below is crystalline MoHRhW2 at its relaxed geometry, with properties calculated at the PBE-GGA level. Values from VASP.

Output
The symmetry is P4/mmm. For the energy relative to the lowest polymorph listed for this composition, the calculation gives 0 meV/atom.

Structure (Quantum ESPRESSO input):
```
&SYSTEM
  ibrav = 0, nat = 5, ntyp = 4
/
ATOMIC_SPECIES
Mo 95.94 Mo.upf
H 1.01 H.upf
Rh 102.91 Rh.upf
W 183.84 W.upf
CELL_PARAMETERS angstrom
4.0190 0.0000 0.0000
0.0000 4.0190 0.0000
0.0000 0.0000 3.9826
ATOMIC_POSITIONS crystal
Mo 0.0000 0.0000 0.0000
H 0.0000 0.0000 0.5000
Rh 0.5000 0.5000 0.0000
W 0.0000 0.5000 0.5000
W 0.5000 0.0000 0.5000
```